No. 1
Material: CoMo2Ir
Method: DFT, GGA-PBE
State: relaxed

Summary:
* space-group type: F222
* relative energy among the computed polymorphs: 0.1196 eV per atom
* formation enthalpy at 0 K: -0.05 eV per formula unit

The structure in extended XYZ format:
```
4
Lattice="4.690 -0.011 -0.008 1.532 4.433 0.008 -3.106 -2.217 2.732" Properties=species:S:1:pos:R:3 pbc="T T T"
Co 3.111 2.211 0.000
Ir 0.768 2.213 1.370
Mo 0.000 0.000 0.000
Mo 2.347 -0.009 1.362
```

No. 2
Material: NbAlSbI2
Method: DFT, GGA-PBE
State: relaxed

Summary:
* space-group type: P4/mmm
* raw formation energy: 0.40 eV per atom
* relative energy among the computed polymorphs: 0.0000 eV per atom

The structure in extended XYZ format:
```
5
Lattice="5.673 0.000 0.000 0.000 5.673 0.000 0.000 0.000 5.408" Properties=species:S:1:pos:R:3 pbc="T T T"
I 0.000 2.836 0.000
Sb 0.000 0.000 2.704
Nb 0.000 0.000 0.000
Al 2.836 2.836 2.704
I 2.836 0.000 0.000
```